Entry 1:
! Ba3MgHg2 | Alexandria | PBE | optimized geometry; values from VASP
! Magnetization (μB/cell): 0.00
! ΔE_f (eV per atom): -0.37
&SYSTEM
  ibrav = 0, nat = 6, ntyp = 3
/
ATOMIC_SPECIES
Ba 137.33 Ba.upf
Mg 24.30 Mg.upf
Hg 200.59 Hg.upf
ATOMIC_POSITIONS angstrom
Ba 0.0000 0.0000 0.0000
Ba 0.0000 0.0000 4.1265
Ba 0.0000 0.0000 8.6784
Mg 2.1249 2.1249 6.4024
Hg 2.1249 2.1249 2.1286
Hg 2.1249 2.1249 10.6762
CELL_PARAMETERS angstrom
4.2499 0.0000 0.0000
0.0000 4.2499 0.0000
0.0000 0.0000 12.8048


Entry 2:
! BaMg4Hg12 | Alexandria | PBE | optimized geometry; values from VASP
! Magnetization (μB/cell): 0.00
! ΔE_f (eV per atom): -0.10
&SYSTEM
  ibrav = 0, nat = 17, ntyp = 3
/
ATOMIC_SPECIES
Ba 137.33 Ba.upf
Mg 24.30 Mg.upf
Hg 200.59 Hg.upf
ATOMIC_POSITIONS angstrom
Ba 0.0000 0.0000 0.0000
Mg 2.4839 2.4839 -2.4839
Mg 2.4839 -2.4839 2.4839
Mg -2.4839 2.4839 2.4839
Mg 2.4839 2.4839 2.4839
Hg 3.4782 1.5276 0.0000
Hg 6.4574 1.5276 0.0000
Hg 4.9678 -1.4896 3.4402
Hg 3.4402 4.9678 -1.4896
Hg 1.5276 0.0000 3.4782
Hg 4.9678 1.4896 3.4402
Hg 0.0000 3.4782 1.5276
Hg 3.4402 4.9678 1.4896
Hg 1.5276 0.0000 6.4574
Hg 0.0000 6.4574 1.5276
Hg -1.4896 3.4402 4.9678
Hg 1.4896 3.4402 4.9678
CELL_PARAMETERS angstrom
-4.9678 4.9678 4.9678
4.9678 -4.9678 4.9678
4.9678 4.9678 -4.9678


Entry 3:
! BaMgHg2 | Alexandria | PBE | optimized geometry; values from VASP
! Magnetization (μB/cell): 0.00
! ΔE_f (eV per atom): -0.21
&SYSTEM
  ibrav = 0, nat = 8, ntyp = 3
/
ATOMIC_SPECIES
Ba 137.33 Ba.upf
Mg 24.30 Mg.upf
Hg 200.59 Hg.upf
ATOMIC_POSITIONS angstrom
Ba 0.0000 0.0000 0.0000
Ba 0.0000 2.7646 4.7791
Mg 2.7646 0.0000 4.7791
Mg 0.0000 0.0000 9.5583
Hg 1.3823 -0.5933 7.1687
Hg 2.1713 1.3823 2.3896
Hg 1.3823 3.3578 -2.3896
Hg 0.5933 1.3823 11.9479
CELL_PARAMETERS angstrom
-2.7646 2.7646 9.5583
2.7646 -2.7646 9.5583
2.7646 2.7646 -9.5583


Entry 4:
! Ba8Mg2Hg | Alexandria | PBE | optimized geometry; values from VASP
! Magnetization (μB/cell): 0.00
! ΔE_f (eV per atom): -0.03
! Relative energy among the computed polymorphs (kJ per mole of atoms): 5.74
&SYSTEM
  ibrav = 0, nat = 11, ntyp = 3
/
ATOMIC_SPECIES
Ba 137.33 Ba.upf
Mg 24.30 Mg.upf
Hg 200.59 Hg.upf
ATOMIC_POSITIONS angstrom
Ba 3.0814 2.9641 -2.5419
Ba 0.0000 0.0000 2.0908
Ba 0.0000 3.5314 0.0000
Ba 3.0814 2.9641 2.5419
Ba 0.0000 2.3441 5.6745
Ba 0.0000 7.0851 0.0000
Ba 0.0000 0.0000 14.3419
Ba 0.0000 2.3441 10.7582
Mg 3.0814 0.0000 4.9385
Mg 0.0000 5.3083 3.2778
Hg 3.0814 0.0000 0.0000
CELL_PARAMETERS angstrom
-3.0814 5.3083 8.2164
3.0814 -5.3083 8.2164
3.0814 5.3083 -8.2164